No. 1
## KPt2F (PBE)

Data for a geometry-optimized KPt2F structure.

Cell lengths 4.991, 4.991, 9.016 Å; angles 73.93, 73.93, 90.00 degrees
Sites, in units of the cell vectors:
Pt 0.875 0.610 0.750
Pt 0.360 0.125 0.250
Pt 0.390 0.625 0.250
Pt 0.375 0.640 0.750
K 0.000 0.000 0.000
K 0.750 0.250 0.500
F 0.500 0.500 0.000
F 0.250 0.750 0.500

Calculated values
**Total magnetic moment**: 0.00 Bohr magnetons per cell
**VASP energy**: -3.73 eV per atom
**Energy relative to the elements, uncorrected**: 0.032 eV per atom
**Offset from the most stable computed form**: 0.0000 eV/atom

---

No. 2
## KRbNa2 (PBE)

Data for a geometry-optimized KRbNa2 structure.

Cell lengths 8.897, 8.897, 8.897 Å; angles 152.48, 56.58, 131.60 degrees
Sites, in units of the cell vectors:
Na 0.755 0.000 0.755
Na 0.245 0.000 0.245
Rb 0.500 0.000 0.500
K 0.000 0.000 0.000

Calculated values
**Total magnetic moment**: 0.00 Bohr magnetons per cell
**VASP energy**: -1.03 eV per atom
**Formation enthalpy at 0 K**: 0.147 eV per atom
**Offset from the most stable computed form**: 0.1183 eV/atom

---

No. 3
## Y2SiS (PBE)

Data for a geometry-optimized Y2SiS structure.

Cell lengths 4.981, 4.981, 4.981 Å; angles 60.00, 60.00, 60.00 degrees
Sites, in units of the cell vectors:
Y 0.750 0.750 0.750
Y 0.250 0.250 0.250
S 0.500 0.500 0.500
Si 0.000 0.000 0.000

Calculated values
**Total magnetic moment**: 0.00 Bohr magnetons per cell
**VASP energy**: -6.55 eV per atom
**Energy relative to the elements, uncorrected**: -0.926 eV per atom
**Offset from the most stable computed form**: 0.5035 eV/atom

---

No. 4
## NdNpPd6 (PBE)

Data for a geometry-optimized NdNpPd6 structure.

Cell lengths 4.166, 4.166, 8.339 Å; angles 90.00, 90.00, 90.00 degrees
Sites, in units of the cell vectors:
Pd 0.500 0.500 0.000
Pd 0.500 0.500 0.500
Pd 0.500 0.000 0.742
Pd 0.000 0.500 0.742
Pd 0.500 0.000 0.258
Pd 0.000 0.500 0.258
Nd 0.000 0.000 0.000
Np 0.000 0.000 0.500

Calculated values
**Total magnetic moment**: 2.99 Bohr magnetons per cell
**VASP energy**: -6.73 eV per atom
**Formation enthalpy at 0 K**: -0.621 eV per atom

---

> The lowest VASP energy belongs to which entry?

NdNpPd6

---

> Number 2 is which compound?

KRbNa2

---

> Look up the total magnetic moment of the third one.

0.00 Bohr magnetons per cell